[1]
Fe2Ag3Cl8 after structural relaxation. Source: Alexandria, functional PBE.

Output
The value obtained for the density of states at the Fermi level is 15.65 states/eV/cell. For the uncorrected formation energy, the calculation gives -7.91 eV per formula unit. For the raw total energy, the calculation gives -0.272 Ry per atom.

Geometry as POSCAR:
```
Fe2Ag3Cl8
1.0
3.9319 -7.6189 0.0000
3.9319 7.6189 0.0000
0.0000 0.0000 10.7727
Fe Ag Cl
4 6 16
direct
0.1207 0.8793 0.8821
0.3793 0.6207 0.3821
0.6207 0.3793 0.6179
0.8793 0.1207 0.1179
0.0000 0.0000 0.5000
0.1117 0.3883 0.7500
0.3883 0.1117 0.2500
0.5000 0.5000 0.0000
0.6117 0.8883 0.7500
0.8883 0.6117 0.2500
0.0006 0.9994 0.2442
0.1154 0.3626 0.0024
0.1374 0.3846 0.4976
0.2393 0.7607 0.7568
0.2607 0.7393 0.2568
0.3626 0.1154 0.9976
0.3846 0.1374 0.5024
0.4994 0.5006 0.7442
0.5006 0.4994 0.2558
0.6154 0.8626 0.4976
0.6374 0.8846 0.0024
0.7393 0.2607 0.7432
0.7607 0.2393 0.2432
0.8626 0.6154 0.5024
0.8846 0.6374 0.9976
0.9994 0.0006 0.7558
```



[2]
FeAgCl2 after structural relaxation. Source: Alexandria, functional PBE.

Output
The value obtained for the density of states at the Fermi level is 2.89 states/eV/cell. For the uncorrected formation energy, the calculation gives -0.21 eV per formula unit. For the raw total energy, the calculation gives -0.280 Ry per atom. The energy above the lowest structure with this stoichiometry is 0.67 eV per formula unit.

Geometry as POSCAR:
```
FeAgCl2
1.0
-1.5529 2.0527 6.1205
1.5529 -2.0527 6.1205
1.5529 2.0527 -6.1205
Fe Ag Cl
1 1 2
direct
0.0000 0.0000 0.0000
0.2092 0.7092 0.5000
0.5487 0.5487 0.0000
0.8401 0.3401 0.5000
```